The following is a PBE calculation of a relaxed UTa2Ir crystal, from Alexandria via LeMat-Bulk.

- N(E_F) (states/eV per cell) = 5.84
- total magnetization (μB per formula unit) = 2.11
- E_form (eV/atom) = 0.101
- space group = No. 225
- calculated volume (Å³/atom) = 17.978
- mass density (Mg/m³) = 18.292
- raw total energy (eV/atom) = -10.863

Structure (POSCAR):
```
UTa2Ir
1.0
-2.9369 -2.7929 -2.3156
1.4341 -4.1929 -1.4663
-1.6348 -3.8692 2.0357
Ta U Ir
2 1 1
Direct
0.7500 0.7500 0.7500
0.2500 0.2500 0.2500
0.0000 0.0000 0.0000
0.5000 0.5000 0.5000
```

The following is a PBE calculation of a relaxed Ta2VIr crystal, from Alexandria via LeMat-Bulk.

- N(E_F) (states/eV per cell) = 9.82
- total magnetization (μB per formula unit) = 0.01
- E_form (eV/atom) = 0.473
- space group = No. 122
- calculated volume (Å³/atom) = 17.440
- mass density (Mg/m³) = 14.402
- raw total energy (eV/atom) = -9.948

Structure (POSCAR):
```
Ta2VIr
1.0
3.7724 0.0000 0.0000
0.0000 3.7724 0.0000
1.8862 1.8862 9.8040
Ta Ir V
4 2 2
Direct
0.3750 0.3776 0.7500
0.6224 0.1250 0.2500
0.1276 0.6250 0.2500
0.8750 0.8724 0.7500
0.0000 0.0000 0.0000
0.7500 0.2500 0.5000
0.2500 0.7500 0.5000
0.5000 0.5000 0.0000
```